DFT (GGA-PBEsol) results for a relaxed structure of PCl3.

The total energy comes out at -57.823 eV/cell.

The structure belongs to space group Pnma (No. 62); the cell edges are 8.215, 9.363 and 6.285 Å and the angles 90.00°, 90.00° and 90.00°. The asymmetric unit holds P at (0.027, 0.250, 0.053), Cl at (0.131, 0.082, 0.215) and Cl at (0.168, 0.250, 0.781).